1.
## Pm4CuPt3 (GGA-PBE)

Data for crystalline Pm4CuPt3 at its relaxed geometry.

Cell and atoms, written as POSCAR:
```
Pm4CuPt3
1.0
3.887 0.000 0.000
0.000 4.554 0.000
0.000 0.000 10.803
Pm Cu Pt
4 1 3
direct
0.000 0.000 0.000
0.000 0.500 0.273
0.500 0.000 0.494
0.500 0.500 0.772
0.000 0.000 0.710
0.000 0.500 0.559
0.500 0.000 0.224
0.500 0.500 0.045
```

Values from the calculation:
DFT total energy ... -6.101 eV/atom
Space-group type ... Pmm2
Crystal system ... orthorhombic
Total magnetic moment ... 0.00 μB per atom
Formation energy ... -732 kJ/mol of formula units


2.
## SiAsPd3 (GGA-PBE)

Data for crystalline SiAsPd3 at its relaxed geometry.

Cell and atoms, written as POSCAR:
```
SiAsPd3
1.0
4.652 0.000 0.000
0.000 4.652 0.000
0.000 0.000 4.652
Si As Pd
1 1 3
direct
0.000 0.000 0.000
0.500 0.500 0.500
0.000 0.500 0.500
0.500 0.000 0.500
0.500 0.500 0.000
```

Values from the calculation:
DFT total energy ... -4.812 eV/atom
Space-group type ... Pm-3m
Crystal system ... cubic
Total magnetic moment ... 0.00 μB per atom
Uncorrected formation energy ... 318 meV per atom


3.
## DyPuCdAg (GGA-PBE)

Data for crystalline DyPuCdAg at its relaxed geometry.

Cell and atoms, written as POSCAR:
```
DyPuCdAg
1.0
0.000 3.719 3.719
3.719 0.000 3.719
3.719 3.719 0.000
Dy Pu Cd Ag
1 1 1 1
direct
0.000 0.000 0.000
0.500 0.500 0.500
0.250 0.250 0.250
0.750 0.750 0.750
```

Values from the calculation:
DFT total energy ... -5.741 eV/atom
Space-group type ... F-43m
Crystal system ... cubic
Total magnetic moment ... 1.52 μB per atom
Formation energy ... -25 kJ/mol of formula units


4.
## Si2NiRh (GGA-PBE)

Data for crystalline Si2NiRh at its relaxed geometry.

Cell and atoms, written as POSCAR:
```
Si2NiRh
1.0
-1.763 1.775 3.951
1.763 -1.775 3.951
1.763 1.775 -3.951
Si Ni Rh
2 1 1
direct
0.000 0.000 0.000
0.749 0.249 0.500
0.246 0.746 0.500
0.497 0.497 0.000
```

Values from the calculation:
DFT total energy ... -6.426 eV/atom
Space-group type ... Imm2
Crystal system ... orthorhombic
Total magnetic moment ... 0.00 μB per atom
Uncorrected formation energy ... -431 meV per atom


5.
## Sm4Zn3Ga (GGA-PBE)

Data for crystalline Sm4Zn3Ga at its relaxed geometry.

Cell and atoms, written as POSCAR:
```
Sm4Zn3Ga
1.0
2.575 1.487 8.432
-2.575 1.487 8.432
0.000 -2.973 8.432
Sm Zn Ga
4 3 1
direct
0.125 0.125 0.125
0.375 0.375 0.375
0.625 0.625 0.625
0.875 0.875 0.875
0.000 0.000 0.000
0.251 0.251 0.251
0.749 0.749 0.749
0.500 0.500 0.500
```

Values from the calculation:
DFT total energy ... -3.596 eV/atom
Space-group type ... R-3m
Crystal system ... trigonal
Total magnetic moment ... 0.00 μB per atom
Formation energy ... -294 kJ/mol of formula units


6.
## ZrBeW2 (GGA-PBE)

Data for crystalline ZrBeW2 at its relaxed geometry.

Cell and atoms, written as POSCAR:
```
ZrBeW2
1.0
-2.253 2.253 3.181
2.253 -2.253 3.181
2.253 2.253 -3.181
Zr Be W
1 1 2
direct
0.000 0.000 0.000
0.250 0.750 0.500
0.500 0.500 0.000
0.750 0.250 0.500
```

Values from the calculation:
DFT total energy ... -9.352 eV/atom
Space-group type ... I-4m2
Crystal system ... tetragonal
Total magnetic moment ... 0.00 μB per atom
Formation energy ... 75 kJ/mol of formula units


7.
## HfSc2InH (GGA-PBE)

Data for crystalline HfSc2InH at its relaxed geometry.

Cell and atoms, written as POSCAR:
```
HfSc2InH
1.0
4.486 0.000 0.000
0.000 4.486 0.000
0.000 0.000 4.434
Hf Sc In H
1 2 1 1
direct
0.000 0.000 0.000
0.000 0.500 0.500
0.500 0.000 0.500
0.500 0.500 0.000
0.000 0.000 0.500
```

Values from the calculation:
DFT total energy ... -6.061 eV/atom
Space-group type ... P4/mmm
Crystal system ... tetragonal
Total magnetic moment ... 0.00 μB per atom


8.
## RbBa2Br5 (GGA-PBE)

Data for crystalline RbBa2Br5 at its relaxed geometry.

Cell and atoms, written as POSCAR:
```
RbBa2Br5
1.0
-2.457 4.035 8.471
2.457 -4.035 8.471
2.457 4.035 -8.471
Rb Ba Br
1 2 5
direct
0.000 0.000 0.000
0.314 0.814 0.500
0.686 0.186 0.500
0.081 0.347 0.734
0.387 0.653 0.734
0.500 0.000 0.500
0.613 0.347 0.266
0.919 0.653 0.266
```

Values from the calculation:
DFT total energy ... -3.695 eV/atom
Space-group type ... Immm
Crystal system ... orthorhombic
Total magnetic moment ... 0.01 μB per atom
Uncorrected formation energy ... -2047 meV per atom


What is the formula in the sixth record? ZrBeW2


Which of these has the lowest DFT total energy? ZrBeW2


Among the records above, which one has the highest DFT total energy? Sm4Zn3Ga